4
Lattice="0.000 3.251 3.251 3.251 0.000 3.251 3.251 3.251 0.000" Properties=species:S:1:pos:R:3 comment="AlSbPd2 | Alexandria via LeMat-Bulk | PBE | optimized geometry" m_tot_mub_per_atom=0.00 mass_density_g_cm3=8.7 relative_energy_mev_per_atom=142 n_ef_per_ev_cell=1.683 pbc="T T T"
Sb 3.251 3.251 3.251
Al 0.000 0.000 0.000
Pd 1.626 1.626 1.626
Pd 4.877 4.877 4.877

14
Lattice="8.633 0.864 0.074 3.559 7.913 0.074 5.001 3.601 3.770" Properties=species:S:1:pos:R:3 comment="AlSbPd5 | Alexandria via LeMat-Bulk | PBE | optimized geometry" total_energy_ev_per_atom=-5.22 m_tot_mub_per_atom=0.00 mass_density_g_cm3=9.3 n_ef_per_ev_cell=4.534 pbc="T T T"
Al 7.378 5.244 1.016
Al 9.815 7.134 2.901
Sb 0.000 0.000 0.000
Sb 2.501 1.800 1.885
Pd 8.692 7.336 0.646
Pd 6.472 7.065 2.483
Pd 12.216 7.716 2.531
Pd 8.805 3.263 1.016
Pd 10.940 10.282 3.320
Pd 6.253 2.096 0.598
Pd 8.388 9.115 2.901
Pd 4.978 4.662 1.386
Pd 10.721 5.313 1.435
Pd 8.501 5.041 3.271

8
Lattice="-3.315 -1.436 -1.668 -0.028 -2.988 2.628 -4.406 4.406 4.963" Properties=species:S:1:pos:R:3 comment="AlSbPd6 | Alexandria via LeMat-Bulk | PBE | optimized geometry" m_tot_mub_per_atom=0.00 mass_density_g_cm3=10.4 relative_energy_mev_per_atom=0 n_ef_per_ev_cell=2.774 pbc="T T T"
Al -2.203 2.203 2.482
Sb 0.000 0.000 0.000
Pd -1.671 -2.212 0.480
Pd -3.874 -0.009 2.962
Pd -2.800 0.424 0.453
Pd -4.921 2.546 2.843
Pd -1.156 -0.352 2.601
Pd -3.277 1.770 4.991

5
Lattice="-5.051 -0.100 1.151 0.420 -4.969 1.409 1.077 1.467 4.851" Properties=species:S:1:pos:R:3 comment="AlSb3Pd | Alexandria via LeMat-Bulk | PBE | optimized geometry" m_tot_mub_per_atom=0.00 mass_density_g_cm3=6.0 relative_energy_mev_per_atom=213 n_ef_per_ev_cell=2.343 pbc="T T T"
Sb 0.210 -2.484 0.705
Sb 0.538 0.733 2.426
Sb -2.525 -0.050 0.576
Al 0.000 0.000 0.000
Pd -1.777 -1.801 3.706

12
Lattice="-3.421 -0.863 1.812 1.982 -2.017 2.782 0.942 9.847 6.468" Properties=species:S:1:pos:R:3 comment="Al2SbPd9 | Alexandria via LeMat-Bulk | PBE | optimized geometry" total_energy_ev_per_atom=-5.41 m_tot_mub_per_atom=0.00 mass_density_g_cm3=10.1 n_ef_per_ev_cell=7.387 pbc="T T T"
Al 0.322 3.366 2.211
Al 0.620 6.481 4.257
Sb 0.000 0.000 0.000
Pd -0.720 -1.440 2.297
Pd -0.403 1.874 4.473
Pd -0.095 5.093 6.588
Pd -1.546 1.293 2.038
Pd -1.240 4.492 4.140
Pd -0.934 7.691 6.241
Pd 1.156 0.716 2.523
Pd 1.462 3.915 4.625
Pd 1.768 7.114 6.726

11
Lattice="3.917 0.000 -1.192 -1.120 6.479 -3.680 0.098 -0.188 7.353" Properties=species:S:1:pos:R:3 comment="AlSb2Pd8 | Alexandria via LeMat-Bulk | PBE | optimized geometry" m_tot_mub_per_atom=0.00 mass_density_g_cm3=10.1 relative_energy_mev_per_atom=0 n_ef_per_ev_cell=1.698 pbc="T T T"
Al 1.958 0.000 -0.596
Sb -0.011 4.358 -0.037
Sb 2.906 1.933 2.518
Pd 1.618 5.757 -1.715
Pd 0.748 3.595 2.458
Pd 0.401 0.818 1.318
Pd -0.336 1.942 -1.103
Pd 2.494 5.473 1.163
Pd 2.147 2.696 0.024
Pd 1.277 0.534 4.196
Pd 3.230 4.349 3.584

5
Lattice="-2.512 0.987 4.494 2.524 -3.986 2.286 3.847 3.259 1.435" Properties=species:S:1:pos:R:3 comment="AlSb3Pd | Alexandria via LeMat-Bulk | PBE | optimized geometry" m_tot_mub_per_atom=0.00 mass_density_g_cm3=5.7 relative_energy_mev_per_atom=0 n_ef_per_ev_cell=4.907 pbc="T T T"
Sb 1.262 -1.993 1.143
Sb 1.924 1.629 0.718
Sb -1.256 0.493 2.247
Al 1.929 0.130 4.107
Pd 0.000 0.000 0.000

11
Lattice="-3.062 2.816 1.191 -2.657 -0.527 -5.593 -0.802 -6.072 4.423" Properties=species:S:1:pos:R:3 comment="Al2SbPd8 | Alexandria via LeMat-Bulk | PBE | optimized geometry" m_tot_mub_per_atom=0.00 mass_density_g_cm3=9.7 relative_energy_mev_per_atom=35 n_ef_per_ev_cell=4.165 pbc="T T T"
Al -4.270 0.501 -1.449
Al -2.698 -2.374 1.529
Sb -3.637 -5.628 -1.064
Pd -3.311 -3.855 3.453
Pd -3.560 -0.851 3.579
Pd -2.029 -0.738 -0.621
Pd -5.037 0.703 -3.899
Pd -3.592 -1.454 -2.947
Pd -4.404 -0.611 0.830
Pd -2.528 -5.409 1.280
Pd -4.064 -2.978 -0.566

4
Lattice="3.161 0.000 0.000 0.000 3.161 0.000 0.000 0.000 6.933" Properties=species:S:1:pos:R:3 comment="AlSbPd2 | Alexandria via LeMat-Bulk | PBE | optimized geometry" m_tot_mub_per_atom=0.00 mass_density_g_cm3=8.7 relative_energy_mev_per_atom=0 n_ef_per_ev_cell=1.595 pbc="T T T"
Sb 1.580 1.580 3.466
Al 1.580 1.580 0.000
Pd 0.000 0.000 5.517
Pd 0.000 0.000 1.416

8
Lattice="4.194 0.000 0.000 0.000 4.194 0.000 2.097 2.097 8.671" Properties=species:S:1:pos:R:3 comment="AlSbPd2 | Alexandria via LeMat-Bulk | PBE | optimized geometry" m_tot_mub_per_atom=0.00 mass_density_g_cm3=7.9 relative_energy_mev_per_atom=244 n_ef_per_ev_cell=2.692 pbc="T T T"
Sb 0.000 0.000 0.000
Sb 4.194 2.097 4.336
Al 2.097 2.097 0.000
Al 2.097 4.194 4.336
Pd 3.099 1.049 2.168
Pd 1.095 3.146 2.168
Pd 3.146 3.192 6.504
Pd 5.243 5.196 6.504

12
Lattice="-2.921 1.366 -3.365 0.795 -4.660 -2.581 -6.154 -3.277 4.021" Properties=species:S:1:pos:R:3 comment="AlSbPd4 | Alexandria via LeMat-Bulk | PBE | optimized geometry" m_tot_mub_per_atom=0.00 mass_density_g_cm3=9.4 relative_energy_mev_per_atom=106 n_ef_per_ev_cell=4.551 pbc="T T T"
Al -4.538 -0.955 0.328
Al -2.680 -3.968 0.720
Sb 0.000 0.000 0.000
Sb -1.063 -1.647 -2.973
Pd -3.583 -1.938 -4.130
Pd -6.427 -2.371 1.396
Pd -3.236 -2.326 -1.360
Pd -6.257 -5.016 -3.053
Pd -4.697 -4.633 2.205
Pd -1.853 -4.200 -3.321
Pd -5.044 -4.245 -0.565
Pd -2.024 -1.555 1.128

4
Lattice="-1.976 -2.555 1.521 -0.754 -2.986 -1.806 6.488 -5.658 3.116" Properties=species:S:1:pos:R:3 comment="AlSb2Pd | Alexandria via LeMat-Bulk | PBE | optimized geometry" total_energy_ev_per_atom=-4.07 m_tot_mub_per_atom=0.00 mass_density_g_cm3=6.4 n_ef_per_ev_cell=2.946 pbc="T T T"
Sb 4.365 -4.564 2.195
Sb -0.608 -6.634 0.637
Al 1.879 -5.599 1.416
Pd 0.000 0.000 0.000